# 1
{
  "formula": "Pr3InP",
  "functional": "PBE",
  "state": "relaxed",
  "de_polymorph_ev_per_atom": 0.0000,
  "formation_enthalpy_0k_mev_per_atom": -737,
  "spacegroup": "P2_1/m, No. 11",
  "total_energy_ev_per_atom": -5.23,
  "cell": [[-0.519, -3.088, -3.431], [6.269, 1.909, -2.666], [4.181, -6.485, 5.205]],
  "species": ["Pr", "Pr", "Pr", "Pr", "Pr", "Pr", "In", "In", "P", "P"],
  "frac_coords": [[0.250, 0.006, 0.339], [0.250, 0.494, 0.339], [0.250, 0.250, 0.921], [0.750, 0.994, 0.661], [0.750, 0.750, 0.079], [0.750, 0.506, 0.661], [0.750, 0.249, 0.150], [0.250, 0.751, 0.850], [0.750, 0.750, 0.396], [0.250, 0.250, 0.604]]
}

# 2
{
  "formula": "CeHo8Sc5",
  "functional": "PBE",
  "state": "relaxed",
  "formation_enthalpy_0k_mev_per_atom": 269,
  "spacegroup": "I-4, No. 82",
  "total_energy_ev_per_atom": -5.03,
  "cell": [[-4.191, 0.528, -6.912], [7.679, 1.889, -1.756], [-0.487, -7.471, 3.093]],
  "species": ["Ce", "Ho", "Ho", "Ho", "Ho", "Ho", "Ho", "Ho", "Ho", "Sc", "Sc", "Sc", "Sc", "Sc"],
  "frac_coords": [[0.250, 0.750, 0.500], [0.016, 0.773, 0.101], [0.227, 0.328, 0.243], [0.583, 0.818, 0.408], [0.182, 0.590, 0.764], [0.826, 0.417, 0.236], [0.085, 0.984, 0.757], [0.672, 0.915, 0.899], [0.410, 0.174, 0.592], [0.883, 0.284, 0.812], [0.716, 0.527, 0.598], [0.473, 0.071, 0.188], [0.500, 0.500, 0.000], [0.929, 0.117, 0.402]]
}

# 3
{
  "formula": "Rh3W",
  "functional": "PBE",
  "state": "relaxed",
  "formation_enthalpy_0k_mev_per_atom": 64,
  "spacegroup": "P4/mmm, No. 123",
  "total_energy_ev_per_atom": -8.69,
  "cell": [[3.290, 0.000, 0.000], [0.000, 3.290, 0.000], [0.000, 0.000, 5.502]],
  "species": ["Rh", "Rh", "Rh", "W"],
  "frac_coords": [[0.000, 0.000, 0.746], [0.000, 0.000, 0.254], [0.500, 0.500, 0.000], [0.500, 0.500, 0.500]]
}

# 4
{
  "formula": "Ti2VAu",
  "functional": "PBE",
  "state": "relaxed",
  "de_polymorph_ev_per_atom": 0.4731,
  "formation_enthalpy_0k_mev_per_atom": 237,
  "spacegroup": "R-3m, No. 166",
  "total_energy_ev_per_atom": -6.81,
  "cell": [[2.817, 0.000, 0.000], [1.408, 2.440, 0.000], [1.408, 0.813, 9.738]],
  "species": ["Ti", "Ti", "Au", "V"],
  "frac_coords": [[0.084, 0.084, 0.748], [0.916, 0.916, 0.252], [0.500, 0.500, 0.500], [0.000, 0.000, 0.000]]
}

# 5
{
  "formula": "CaSe",
  "functional": "PBE",
  "state": "relaxed",
  "e_form_raw_ev_per_fu": -3.5,
  "spacegroup": "Pm-3n, No. 223",
  "total_energy_ev_per_atom": -4.49,
  "cell": [[-6.234, 0.647, -5.077], [4.725, -2.350, -6.101], [-1.969, -7.689, 1.437]],
  "species": ["Ca", "Ca", "Ca", "Ca", "Ca", "Ca", "Se", "Se", "Se", "Se", "Se", "Se"],
  "frac_coords": [[0.250, 0.000, 0.500], [0.750, 0.000, 0.500], [0.000, 0.500, 0.250], [0.000, 0.500, 0.750], [0.500, 0.250, 0.000], [0.500, 0.750, 0.000], [0.250, 0.500, 0.000], [0.750, 0.500, 0.000], [0.500, 0.000, 0.250], [0.500, 0.000, 0.750], [0.000, 0.250, 0.500], [0.000, 0.750, 0.500]]
}

# 6
{
  "formula": "NpIn2SnSe4",
  "functional": "PBE",
  "state": "relaxed",
  "e_form_raw_ev_per_fu": -4.9,
  "spacegroup": "P2/m, No. 10",
  "total_energy_ev_per_atom": -5.16,
  "cell": [[-0.462, -0.598, -4.159], [7.708, 0.953, -0.993], [3.234, -6.690, 0.602]],
  "species": ["Np", "In", "In", "Sn", "Se", "Se", "Se", "Se"],
  "frac_coords": [[0.000, 0.500, 0.500], [0.000, 0.000, 0.000], [0.500, 0.000, 0.500], [0.500, 0.500, 0.000], [0.000, 0.719, 0.741], [0.000, 0.281, 0.259], [0.500, 0.712, 0.277], [0.500, 0.288, 0.723]]
}